# LaPmMg2Ge2

LaPmMg2Ge2 after structural relaxation (PBE-GGA, the Alexandria database).

a = 4.6984 Å, b = 4.6984 Å, c = 7.5027 Å
α = 90.00°, β = 90.00°, γ = 120.00°
Atoms (fractional coordinates):
La 0.0000 0.0000 0.0000
Pm 0.0000 0.0000 0.5000
Mg 0.3333 0.6667 0.7348
Mg 0.6667 0.3333 0.2652
Ge 0.3333 0.6667 0.2589
Ge 0.6667 0.3333 0.7411

final energy: -4.26 eV/atom
mass density: 5.5 g/cm³
energy of formation: -0.572 eV/atom
SG: P-3m1, No. 164
total magnetization: 0.00 μB per formula unit